# 1
Computed, not measured: Be2Cd2Pd after structural relaxation at the PBE level of DFT.

ΔE_f = 0.07 eV/atom
distance to the lowest polymorph of the same formula = 0.0 meV per atom
final energy = -2.829 eV/atom

Lattice parameters (Å, degrees): 6.2987 6.2987 3.6622 90.00 90.00 90.00
Closest atoms and distances in Å follow each position.
Sites, in units of the cell vectors:
Be 0.1280 0.3720 0.0000  1 Be 2.28, 2 Pd 2.48
Be 0.3720 0.8720 0.0000  1 Be 2.28, 2 Pd 2.48
Be 0.6280 0.1280 0.0000  1 Be 2.28, 2 Pd 2.48
Be 0.8720 0.6280 0.0000  1 Be 2.28, 2 Pd 2.48
Cd 0.1703 0.6703 0.5000  6 Be 2.56-2.64
Cd 0.3297 0.1703 0.5000  6 Be 2.56-2.64
Cd 0.6703 0.8297 0.5000  6 Be 2.56-2.64
Cd 0.8297 0.3297 0.5000  6 Be 2.56-2.64
Pd 0.0000 0.0000 0.0000  4 Be 2.48
Pd 0.5000 0.5000 0.0000  4 Be 2.48

=====

# 2
Computed, not measured: BeCdPd2 after structural relaxation at the PBE level of DFT.

ΔE_f = -0.35 eV/atom
distance to the lowest polymorph of the same formula = 142.9 meV per atom
final energy = -4.108 eV/atom

Lattice parameters (Å, degrees): 7.7469 7.7469 7.7469 22.54 22.54 22.54
Closest atoms and distances in Å follow each position.
Sites, in units of the cell vectors:
Be 0.0000 0.0000 0.0000  6 Pd 2.28
Cd 0.1665 0.1665 0.1665  6 Pd 2.89-2.90, 6 Cd 3.03
Pd 0.3979 0.3979 0.3979  3 Be 2.28
Pd 0.6019 0.6019 0.6019  3 Be 2.28

=====

# 3
Computed, not measured: BeCdPd2 after structural relaxation at the PBE level of DFT.

ΔE_f = -0.23 eV/atom
distance to the lowest polymorph of the same formula = 262.9 meV per atom
final energy = -3.988 eV/atom

Lattice parameters (Å, degrees): 5.4996 5.4996 5.4996 103.93 103.93 121.24
Closest atoms and distances in Å follow each position.
Sites, in units of the cell vectors:
Be 0.0000 0.0000 0.0000  4 Pd 2.19
Be 0.7500 0.2500 0.5000  4 Pd 2.19
Cd 0.2500 0.7500 0.5000  2 Be 2.70, 8 Pd 2.83-2.91
Cd 0.5000 0.5000 0.0000  2 Be 2.70, 8 Pd 2.83-2.91
Pd 0.0550 0.6250 0.9300  2 Be 2.19
Pd 0.3750 0.3050 0.4300  2 Be 2.19
Pd 0.6950 0.1250 0.0700  2 Be 2.19
Pd 0.8750 0.9450 0.5700  2 Be 2.19

=====

# 4
Computed, not measured: BeCdPd2 after structural relaxation at the PBE level of DFT.

ΔE_f = -0.34 eV/atom
distance to the lowest polymorph of the same formula = 149.4 meV per atom
final energy = -4.102 eV/atom

Lattice parameters (Å, degrees): 7.8199 7.8199 7.8199 22.18 22.18 22.18
Closest atoms and distances in Å follow each position.
Sites, in units of the cell vectors:
Be 0.0000 0.0000 0.0000  6 Pd 2.29
Cd 0.5000 0.5000 0.5000  6 Pd 2.90, 6 Cd 3.01
Pd 0.2681 0.2681 0.2681  3 Be 2.29
Pd 0.7319 0.7319 0.7319  3 Be 2.29

=====

# 5
Computed, not measured: Pm3Be2CdPd9 after structural relaxation at the PBE level of DFT.

ΔE_f = -0.61 eV/atom
final energy = -5.234 eV/atom

Lattice parameters (Å, degrees): 5.9310 5.9310 9.6562 90.00 90.00 120.00
Closest atoms and distances in Å follow each position.
Sites, in units of the cell vectors:
Pm 0.0000 0.0000 0.0000  12 Pd 2.97-3.10
Pm 0.3333 0.6667 0.7077  9 Pd 2.97-3.30
Pm 0.6667 0.3333 0.2923  9 Pd 2.97-3.30
Be 0.3333 0.6667 0.1453  6 Pd 2.16-2.21
Be 0.6667 0.3333 0.8547  6 Pd 2.16-2.21
Cd 0.0000 0.0000 0.5000  6 Pd 2.75
Pd 0.0000 0.5000 0.0000  2 Be 2.21
Pd 0.1604 0.3207 0.2724  1 Be 2.16
Pd 0.1604 0.8396 0.2724  1 Be 2.16
Pd 0.3207 0.1604 0.7276  1 Be 2.16
Pd 0.5000 0.0000 0.0000  2 Be 2.21
Pd 0.5000 0.5000 0.0000  2 Be 2.21
Pd 0.6793 0.8396 0.2724  1 Be 2.16
Pd 0.8396 0.1604 0.7276  1 Be 2.16
Pd 0.8396 0.6793 0.7276  1 Be 2.16

=====

# 6
Computed, not measured: Pm2BeCdPd6 after structural relaxation at the PBE level of DFT.

ΔE_f = -0.57 eV/atom
final energy = -5.096 eV/atom

Lattice parameters (Å, degrees): 7.7424 7.7424 7.7424 44.88 44.88 44.88
Closest atoms and distances in Å follow each position.
Sites, in units of the cell vectors:
Pm 0.2341 0.2341 0.2341  9 Pd 2.96-3.11
Pm 0.7659 0.7659 0.7659  9 Pd 2.96-3.11
Be 0.5000 0.5000 0.5000  6 Pd 2.18
Cd 0.0000 0.0000 0.0000  6 Pd 2.76
Pd 0.2112 0.7342 0.7342  1 Be 2.18
Pd 0.2658 0.2658 0.7888  1 Be 2.18
Pd 0.2658 0.7888 0.2658  1 Be 2.18
Pd 0.7342 0.2112 0.7342  1 Be 2.18
Pd 0.7342 0.7342 0.2112  1 Be 2.18
Pd 0.7888 0.2658 0.2658  1 Be 2.18

=====

# 7
Computed, not measured: Pr2BeCdPd6 after structural relaxation at the PBE level of DFT.

ΔE_f = -0.56 eV/atom
final energy = -5.094 eV/atom

Lattice parameters (Å, degrees): 5.9244 5.9244 7.5827 112.88 112.88 60.04
Closest atoms and distances in Å follow each position.
Sites, in units of the cell vectors:
Pr 0.2489 0.2489 0.2452  9 Pd 3.01-3.36
Pr 0.7511 0.7511 0.7548  9 Pd 3.01-3.36
Be 0.0000 0.0000 0.5000  6 Pd 2.16
Cd 0.5000 0.5000 0.0000  6 Pd 2.72-2.73
Pd 0.2332 0.7087 0.6770  1 Be 2.16
Pd 0.2338 0.2338 0.6782  1 Be 2.16
Pd 0.2913 0.7668 0.3230  1 Be 2.16
Pd 0.7087 0.2332 0.6770  1 Be 2.16
Pd 0.7662 0.7662 0.3218  1 Be 2.16
Pd 0.7668 0.2913 0.3230  1 Be 2.16

=====

# 8
Computed, not measured: Be2CdSbPd after structural relaxation at the PBE level of DFT.

formation energy from raw total energies = 0.862 eV/atom
final energy = -2.675 eV/atom

Lattice parameters (Å, degrees): 4.4109 4.4109 5.1070 90.00 90.00 90.00
Closest atoms and distances in Å follow each position.
Sites, in units of the cell vectors:
Be 0.0000 0.5000 0.0000  2 Cd 2.21
Be 0.5000 0.0000 0.0000  2 Cd 2.21
Cd 0.0000 0.0000 0.0000  4 Be 2.21
Sb 0.5000 0.5000 0.5000  4 Pd 3.12, 8 Be 3.37
Pd 0.0000 0.0000 0.5000  2 Cd 2.55

=====

# 9
Computed, not measured: Sc2Be2CdPd5 after structural relaxation at the PBE level of DFT.

ΔE_f = -0.70 eV/atom
final energy = -5.395 eV/atom

Lattice parameters (Å, degrees): 9.4998 9.4998 3.4127 90.00 90.00 90.00
Closest atoms and distances in Å follow each position.
Sites, in units of the cell vectors:
Sc 0.1758 0.3242 0.0000  3 Be 2.73-2.87, 6 Pd 2.91-2.97
Sc 0.3242 0.8242 0.0000  3 Be 2.73-2.87, 6 Pd 2.91-2.97
Sc 0.6758 0.1758 0.0000  3 Be 2.73-2.87, 6 Pd 2.91-2.97
Sc 0.8242 0.6758 0.0000  3 Be 2.73-2.87, 6 Pd 2.91-2.97
Be 0.1208 0.6208 0.0000  6 Pd 2.34-2.35
Be 0.3792 0.1208 0.0000  6 Pd 2.34-2.35
Be 0.6208 0.8792 0.0000  6 Pd 2.34-2.35
Be 0.8792 0.3792 0.0000  6 Pd 2.34-2.35
Cd 0.0000 0.0000 0.0000  8 Pd 2.77
Cd 0.5000 0.5000 0.0000  8 Pd 2.77
Pd 0.0000 0.5000 0.5000  4 Be 2.35
Pd 0.0721 0.7826 0.5000  2 Be 2.34
Pd 0.2174 0.0721 0.5000  2 Be 2.34
Pd 0.2826 0.5721 0.5000  2 Be 2.34
Pd 0.4279 0.2826 0.5000  2 Be 2.34
Pd 0.5000 0.0000 0.5000  4 Be 2.35
Pd 0.5721 0.7174 0.5000  2 Be 2.34
Pd 0.7174 0.4279 0.5000  2 Be 2.34
Pd 0.7826 0.9279 0.5000  2 Be 2.34
Pd 0.9279 0.2174 0.5000  2 Be 2.34

=====

# 10
Computed, not measured: BeCd2PdSe after structural relaxation at the PBE level of DFT.

formation energy from raw total energies = 0.371 eV/atom
final energy = -2.475 eV/atom

Lattice parameters (Å, degrees): 4.8149 4.8149 4.2914 90.00 90.00 90.00
Closest atoms and distances in Å follow each position.
Sites, in units of the cell vectors:
Be 0.0000 0.0000 0.0000  2 Se 2.15
Cd 0.0000 0.5000 0.0000  2 Be 2.41
Cd 0.5000 0.0000 0.0000  2 Be 2.41
Pd 0.5000 0.5000 0.5000  8 Cd 3.22, 4 Se 3.40
Se 0.0000 0.0000 0.5000  2 Be 2.15

=====

# 11
Computed, not measured: Be2CdSn2Pd5 after structural relaxation at the PBE level of DFT.

ΔE_f = -0.39 eV/atom
final energy = -4.622 eV/atom

Lattice parameters (Å, degrees): 9.5857 9.5857 3.4371 90.00 90.00 90.00
Closest atoms and distances in Å follow each position.
Sites, in units of the cell vectors:
Be 0.1246 0.3754 0.0000  6 Pd 2.36-2.41
Be 0.3754 0.8754 0.0000  6 Pd 2.36-2.41
Be 0.6246 0.1246 0.0000  6 Pd 2.36-2.41
Be 0.8754 0.6246 0.0000  6 Pd 2.36-2.41
Cd 0.0000 0.0000 0.0000  8 Pd 2.77
Cd 0.5000 0.5000 0.0000  8 Pd 2.77
Sn 0.1727 0.6727 0.0000  3 Be 2.75-2.89, 6 Pd 2.90-2.94
Sn 0.3273 0.1727 0.0000  3 Be 2.75-2.89, 6 Pd 2.90-2.94
Sn 0.6727 0.8273 0.0000  3 Be 2.75-2.89, 6 Pd 2.90-2.94
Sn 0.8273 0.3273 0.0000  3 Be 2.75-2.89, 6 Pd 2.90-2.94
Pd 0.0000 0.5000 0.5000  4 Be 2.41
Pd 0.0814 0.2117 0.5000  2 Be 2.36
Pd 0.2117 0.9186 0.5000  2 Be 2.36
Pd 0.2883 0.4186 0.5000  2 Be 2.36
Pd 0.4186 0.7117 0.5000  2 Be 2.36
Pd 0.5000 0.0000 0.5000  4 Be 2.41
Pd 0.5814 0.2883 0.5000  2 Be 2.36
Pd 0.7117 0.5814 0.5000  2 Be 2.36
Pd 0.7883 0.0814 0.5000  2 Be 2.36
Pd 0.9186 0.7883 0.5000  2 Be 2.36

=====

# 12
Computed, not measured: BeCdTe2Pd after structural relaxation at the PBE level of DFT.

formation energy from raw total energies = 0.453 eV/atom
final energy = -2.771 eV/atom

Lattice parameters (Å, degrees): 5.0193 5.0193 4.5791 90.00 90.00 90.00
Closest atoms and distances in Å follow each position.
Sites, in units of the cell vectors:
Be 0.0000 0.0000 0.0000  2 Cd 2.29, 4 Te 2.51
Cd 0.0000 0.0000 0.5000  2 Be 2.29
Te 0.0000 0.5000 0.0000  2 Be 2.51
Te 0.5000 0.0000 0.0000  2 Be 2.51
Pd 0.5000 0.5000 0.5000  8 Te 3.40, 4 Cd 3.55

=====

# 13
Computed, not measured: BeV2CdPd after structural relaxation at the PBE level of DFT.

ΔE_f = 2.03 eV/atom
final energy = -3.583 eV/atom

Lattice parameters (Å, degrees): 4.7723 4.7723 4.8424 90.00 90.00 90.00
Closest atoms and distances in Å follow each position.
Sites, in units of the cell vectors:
Be 0.0000 0.0000 0.0000  4 Pd 3.37, 8 V 3.40
V 0.0000 0.5000 0.5000  2 Cd 2.39
V 0.5000 0.0000 0.5000  2 Cd 2.39
Cd 0.5000 0.5000 0.5000  4 V 2.39, 2 Pd 2.42
Pd 0.5000 0.5000 0.0000  2 Cd 2.42

=====

# 14
Computed, not measured: Be2CdPdW after structural relaxation at the PBE level of DFT.

ΔE_f = 1.64 eV/atom
final energy = -3.666 eV/atom

Lattice parameters (Å, degrees): 4.2339 4.2339 4.8607 90.00 90.00 90.00
Closest atoms and distances in Å follow each position.
Sites, in units of the cell vectors:
Be 0.0000 0.5000 0.0000  2 Cd 2.12
Be 0.5000 0.0000 0.0000  2 Cd 2.12
Cd 0.0000 0.0000 0.0000  4 Be 2.12
Pd 0.0000 0.0000 0.5000  2 Cd 2.43
W 0.5000 0.5000 0.5000  4 Pd 2.99, 8 Be 3.22

=====

# 15
Computed, not measured: Y2Be2CdPd5 after structural relaxation at the PBE level of DFT.

ΔE_f = -0.72 eV/atom
final energy = -5.444 eV/atom

Lattice parameters (Å, degrees): 9.7136 9.7136 3.5124 90.00 90.00 90.00
Closest atoms and distances in Å follow each position.
Sites, in units of the cell vectors:
Y 0.1780 0.3220 0.0000  3 Be 2.81-2.93, 10 Pd 3.01-3.14
Y 0.3220 0.8220 0.0000  3 Be 2.81-2.93, 10 Pd 3.01-3.14
Y 0.6780 0.1780 0.0000  3 Be 2.81-2.93, 10 Pd 3.01-3.14
Y 0.8220 0.6780 0.0000  3 Be 2.81-2.93, 10 Pd 3.01-3.14
Be 0.1172 0.6172 0.0000  6 Pd 2.38-2.41
Be 0.3828 0.1172 0.0000  6 Pd 2.38-2.41
Be 0.6172 0.8828 0.0000  6 Pd 2.38-2.41
Be 0.8828 0.3828 0.0000  6 Pd 2.38-2.41
Cd 0.0000 0.0000 0.0000  8 Pd 2.85
Cd 0.5000 0.5000 0.0000  8 Pd 2.85
Pd 0.0000 0.5000 0.5000  4 Be 2.38
Pd 0.0692 0.7798 0.5000  2 Be 2.41
Pd 0.2202 0.0692 0.5000  2 Be 2.41
Pd 0.2798 0.5692 0.5000  2 Be 2.41
Pd 0.4308 0.2798 0.5000  2 Be 2.41
Pd 0.5000 0.0000 0.5000  4 Be 2.38
Pd 0.5692 0.7202 0.5000  2 Be 2.41
Pd 0.7202 0.4308 0.5000  2 Be 2.41
Pd 0.7798 0.9308 0.5000  2 Be 2.41
Pd 0.9308 0.2202 0.5000  2 Be 2.41

=====

# 16
Computed, not measured: BeZnCdPd after structural relaxation at the PBE level of DFT.

ΔE_f = -0.12 eV/atom
distance to the lowest polymorph of the same formula = 91.3 meV per atom
final energy = -2.897 eV/atom

Lattice parameters (Å, degrees): 4.8837 4.8837 4.2251 115.57 115.57 41.91
Closest atoms and distances in Å follow each position.
Sites, in units of the cell vectors:
Be 0.0000 0.0000 0.0000  2 Pd 2.29
Zn 0.4713 0.4713 0.4686  4 Pd 2.72-2.91, 4 Cd 2.74-2.88, 4 Be 2.74-2.76
Cd 0.2550 0.2550 0.7522  3 Be 2.64-2.95, 4 Zn 2.74-2.88, 4 Pd 2.80
Pd 0.6831 0.6831 0.1802  2 Be 2.29

=====

# 17
Computed, not measured: BeZnCdPd after structural relaxation at the PBE level of DFT.

ΔE_f = -0.16 eV/atom
distance to the lowest polymorph of the same formula = 53.7 meV per atom
final energy = -2.935 eV/atom

Lattice parameters (Å, degrees): 2.8743 3.4306 6.3533 90.00 102.57 90.00
Closest atoms and distances in Å follow each position.
Sites, in units of the cell vectors:
Be 0.0000 0.0000 0.0000  4 Pd 2.32-2.33, 2 Zn 2.42
Zn 0.1464 0.5000 0.2763  2 Be 2.42
Cd 0.7903 0.0000 0.5701  1 Be 2.67, 2 Cd 2.87, 4 Zn 2.88-2.89
Pd 0.4527 0.5000 0.8974  4 Be 2.32-2.33

=====

# 18
Computed, not measured: BeZnCdPd after structural relaxation at the PBE level of DFT.

ΔE_f = -0.10 eV/atom
distance to the lowest polymorph of the same formula = 110.2 meV per atom
final energy = -2.878 eV/atom

Lattice parameters (Å, degrees): 4.3635 4.3400 4.3295 60.44 59.90 59.66
Closest atoms and distances in Å follow each position.
Sites, in units of the cell vectors:
Be 0.0000 0.0000 0.0000  4 Cd 2.66, 4 Pd 2.66
Zn 0.5000 0.5000 0.5000  4 Cd 2.66, 4 Pd 2.66
Cd 0.7500 0.7500 0.7500  4 Zn 2.66, 4 Be 2.66
Pd 0.2500 0.2500 0.2500  4 Zn 2.66, 4 Be 2.66

=====

# 19
Computed, not measured: BeZnCdPd after structural relaxation at the PBE level of DFT.

ΔE_f = -0.10 eV/atom
distance to the lowest polymorph of the same formula = 111.1 meV per atom
final energy = -2.877 eV/atom

Lattice parameters (Å, degrees): 4.9434 4.9434 4.9434 139.11 131.50 65.25
Closest atoms and distances in Å follow each position.
Sites, in units of the cell vectors:
Be 0.0000 0.0000 0.0000  2 Zn 2.53, 4 Pd 2.67, 2 Cd 2.69
Zn 0.7778 0.2778 0.5000  2 Be 2.53, 4 Cd 2.68, 2 Pd 2.79
Cd 0.2484 0.7484 0.5000  4 Zn 2.68, 4 Be 2.69-2.92, 4 Pd 2.81
Pd 0.5153 0.5153 0.0000  4 Be 2.67, 4 Zn 2.79-2.83, 4 Cd 2.81

=====

# 20
Computed, not measured: BeZnCdPd after structural relaxation at the PBE level of DFT.

ΔE_f = -0.20 eV/atom
distance to the lowest polymorph of the same formula = 12.7 meV per atom
final energy = -2.976 eV/atom

Lattice parameters (Å, degrees): 3.0333 3.0333 6.4535 90.00 90.00 90.00
Closest atoms and distances in Å follow each position.
Sites, in units of the cell vectors:
Be 0.0000 0.0000 0.0000  4 Pd 2.37, 1 Zn 2.65
Zn 0.0000 0.0000 0.5898  1 Be 2.65, 4 Pd 2.70, 4 Cd 2.91
Cd 0.5000 0.5000 0.2858  4 Be 2.83, 1 Pd 2.85, 4 Zn 2.91, 4 Cd 3.03
Pd 0.5000 0.5000 0.8443  4 Be 2.37